Crystalline Li2NpNiO6 at its relaxed geometry, computed with PBE+U.

The space group is P1 (No. 1) and the conventional cell measures 5.173, 5.207 and 5.488 Å, with angles of 61.76, 89.68 and 61.23 degrees. The distinct sites, in fractional coordinates, are Li at (0.000, 0.000, 0.000), Li at (0.467, 0.029, 0.473), Np at (0.769, 0.439, 0.357), Ni at (0.268, 0.440, 0.854), O at (0.043, 0.290, 0.120), O at (0.146, 0.297, 0.626), O at (0.391, 0.544, 0.119), O at (0.524, 0.560, 0.619), O at (0.661, 0.920, 0.132) and O at (0.877, 0.960, 0.611).

The calculation puts the magnetic moment at 0.98 μB/f.u. The value obtained for the density of states at the Fermi level is 2.15 states/eV/cell. The calculation puts the energy at -6.83 eV/atom.